# 1
Material: BiTeSN2
Method: DFT, PBE
State: optimized geometry

CIF file:
```
data_BiTeSN2
_chemical_formula_sum 'Bi1 Te1 S1 N2'
_symmetry_space_group_name_H-M 'P 4/m m m'
_symmetry_Int_Tables_number 123
_symmetry_space_group_name_Hall '-P 4 2'
_cell_length_a 4.146
_cell_length_b 4.146
_cell_length_c 5.110
_cell_angle_alpha 90.00
_cell_angle_beta 90.00
_cell_angle_gamma 90.00
loop_
_atom_site_label
_atom_site_type_symbol
_atom_site_fract_x
_atom_site_fract_y
_atom_site_fract_z
Bi1 Bi 0.000 0.000 0.000
Te1 Te 0.500 0.500 0.500
S1 S 0.500 0.500 0.000
N1 N 0.000 0.500 0.500
```

Results
For the uncorrected formation energy, the calculation gives 1.154 eV/atom. As for the density: 7500 kg/m³. As for the raw total energy: -4.406 eV per atom. The energy above the lowest structure with this stoichiometry comes out at 0 meV per atom. For the total magnetization, the calculation gives 0.00 μB/cell.

---

# 2
Material: MgInGeBi
Method: DFT, PBE
State: optimized geometry

CIF file:
```
data_MgInGeBi
_chemical_formula_sum 'Mg4 In4 Ge4 Bi4'
_symmetry_space_group_name_H-M 'F -4 3 m'
_symmetry_Int_Tables_number 216
_symmetry_space_group_name_Hall 'F -4 2 3'
_cell_length_a 7.391
_cell_length_b 7.391
_cell_length_c 7.391
_cell_angle_alpha 90.00
_cell_angle_beta 90.00
_cell_angle_gamma 90.00
loop_
_atom_site_label
_atom_site_type_symbol
_atom_site_fract_x
_atom_site_fract_y
_atom_site_fract_z
Mg1 Mg 0.000 0.000 0.000
In1 In 0.250 0.250 0.250
Ge1 Ge 0.000 0.000 0.500
Bi1 Bi 0.250 0.250 0.750
```

Results
As for the density: 6921 kg/m³. As for the raw total energy: -3.097 eV per atom. The formation energy from the elements is 0.44 eV/f.u. For the total magnetization, the calculation gives 0.00 μB/cell.

---

# 3
Material: SrPPdO2
Method: DFT, PBE
State: optimized geometry

CIF file:
```
data_SrPPdO2
_chemical_formula_sum 'Sr1 P1 Pd1 O2'
_symmetry_space_group_name_H-M 'P 4/m m m'
_symmetry_Int_Tables_number 123
_symmetry_space_group_name_Hall '-P 4 2'
_cell_length_a 4.356
_cell_length_b 4.356
_cell_length_c 6.549
_cell_angle_alpha 90.00
_cell_angle_beta 90.00
_cell_angle_gamma 90.00
loop_
_atom_site_label
_atom_site_type_symbol
_atom_site_fract_x
_atom_site_fract_y
_atom_site_fract_z
Sr1 Sr 0.000 0.000 0.000
P1 P 0.000 0.000 0.500
Pd1 Pd 0.500 0.500 0.500
O1 O 0.000 0.500 0.000
```

Results
For the uncorrected formation energy, the calculation gives 0.407 eV/atom. As for the density: 3434 kg/m³. As for the raw total energy: -4.033 eV per atom. The energy above the lowest structure with this stoichiometry comes out at 962 meV per atom. For the total magnetization, the calculation gives 3.70 μB/cell.